A relaxed Nd2ErSe4 crystal, computed with PBE.

Lattice parameters (Å, degrees): 8.279 8.255 8.255 61.01 59.90 59.90
Element x y z (fractional)
Nd 0.000 0.000 0.000
Nd 0.000 0.000 0.500
Nd 0.000 0.500 0.500
Nd 0.500 0.000 0.500
Er 0.500 0.500 0.000
Er 0.000 0.500 0.000
Se 0.258 0.252 0.232
Se 0.742 0.268 0.248
Se 0.258 0.732 0.752
Se 0.742 0.748 0.768
Se 0.753 0.745 0.245
Se 0.743 0.255 0.755
Se 0.257 0.745 0.245
Se 0.247 0.255 0.755

Results
As for the symmetry: No. 74. The density of states at the Fermi level comes out at 0.301 states/eV per atom. For the uncorrected formation energy, the calculation gives -12.967 eV per formula unit. For the energy above the lowest structure with this stoichiometry, the calculation gives 0.0 meV/atom. The value obtained for the size of the total moment is 0.0 μB per formula unit. The value obtained for the calculated volume is 28.7 Å³ per atom.

A relaxed Nd4Er3Se8 crystal, computed with PBE.

Lattice parameters (Å, degrees): 8.117 8.117 8.991 63.17 63.17 60.00
Element x y z (fractional)
Nd 0.000 0.000 0.000
Nd 0.354 0.354 0.939
Nd 0.500 0.500 0.500
Nd 0.646 0.646 0.061
Er 0.500 0.000 0.500
Er 0.000 0.000 0.500
Er 0.000 0.500 0.500
Se 0.230 0.230 0.309
Se 0.234 0.750 0.266
Se 0.750 0.750 0.266
Se 0.750 0.234 0.266
Se 0.770 0.770 0.691
Se 0.766 0.250 0.734
Se 0.250 0.250 0.734
Se 0.250 0.766 0.734

Results
As for the symmetry: No. 166. The density of states at the Fermi level comes out at 0.478 states/eV per atom. For the uncorrected formation energy, the calculation gives -24.255 eV per formula unit. For the energy above the lowest structure with this stoichiometry, the calculation gives 202.2 meV/atom. The value obtained for the size of the total moment is 0.0 μB per formula unit. The value obtained for the calculated volume is 29.2 Å³ per atom.